Entry 1:
First-principles (PBE-GGA) data for a relaxed KHoAsO crystal, as listed in the Open Quantum Materials Database.

Properties
SG	No. 26
spin magnetization	0.00	μB per cell
E above lowest polymorph	2.93	kJ per mole of atoms

```
data_KHoAsO
_chemical_formula_sum 'K2 Ho2 As2 O2'
_cell_length_a 4.888
_cell_length_b 6.850
_cell_length_c 5.975
_cell_angle_alpha 90.00
_cell_angle_beta 90.00
_cell_angle_gamma 90.00
_symmetry_space_group_name_H-M 'P 1'
_symmetry_Int_Tables_number 1
_symmetry_space_group_name_Hall 'P 1'
loop_
_atom_site_label
_atom_site_type_symbol
_atom_site_fract_x
_atom_site_fract_y
_atom_site_fract_z
K1 K 0.000 0.131 0.000
K2 K 0.000 0.869 0.500
Ho1 Ho 0.500 0.216 0.497
Ho2 Ho 0.500 0.784 0.997
As1 As 0.000 0.433 0.468
As2 As 0.000 0.567 0.968
O1 O 0.500 0.005 0.752
O2 O 0.500 0.995 0.252
```


Entry 2:
First-principles (PBE-GGA) data for a relaxed K2Ho2AsP crystal, as listed in the Open Quantum Materials Database.

Properties
SG	No. 99
spin magnetization	0.01	μB per cell
E_tot	-25.7	eV for the cell shown

```
data_K2Ho2AsP
_chemical_formula_sum 'K2 Ho2 As1 P1'
_cell_length_a 4.917
_cell_length_b 4.917
_cell_length_c 7.860
_cell_angle_alpha 90.00
_cell_angle_beta 90.00
_cell_angle_gamma 90.00
_symmetry_space_group_name_H-M 'P 1'
_symmetry_Int_Tables_number 1
_symmetry_space_group_name_Hall 'P 1'
loop_
_atom_site_label
_atom_site_type_symbol
_atom_site_fract_x
_atom_site_fract_y
_atom_site_fract_z
K1 K 0.000 0.000 0.000
K2 K 0.500 0.500 0.239
Ho1 Ho 0.000 0.500 0.613
Ho2 Ho 0.500 0.000 0.613
As1 As 0.500 0.500 0.806
P1 P 0.000 0.000 0.442
```


Entry 3:
First-principles (PBE-GGA) data for a relaxed KHoTe3As crystal, as listed in the Open Quantum Materials Database.

Properties
SG	No. 63
spin magnetization	0.30	μB per cell
E_tot	-47.9	eV for the cell shown

```
data_KHoTe3As
_chemical_formula_sum 'K2 Ho2 Te6 As2'
_cell_length_a 8.662
_cell_length_b 8.662
_cell_length_c 11.149
_cell_angle_alpha 90.00
_cell_angle_beta 90.00
_cell_angle_gamma 150.42
_symmetry_space_group_name_H-M 'P 1'
_symmetry_Int_Tables_number 1
_symmetry_space_group_name_Hall 'P 1'
loop_
_atom_site_label
_atom_site_type_symbol
_atom_site_fract_x
_atom_site_fract_y
_atom_site_fract_z
K1 K 0.236 0.764 0.750
K2 K 0.764 0.236 0.250
Ho1 Ho 0.000 0.000 0.000
Ho2 Ho 0.000 0.000 0.500
Te1 Te 0.092 0.908 0.250
Te2 Te 0.372 0.628 0.043
Te3 Te 0.372 0.628 0.457
Te4 Te 0.628 0.372 0.543
Te5 Te 0.628 0.372 0.957
Te6 Te 0.908 0.092 0.750
As1 As 0.459 0.541 0.250
As2 As 0.541 0.459 0.750
```


Entry 4:
First-principles (PBE-GGA) data for a relaxed LaHoAsO crystal, as listed in the Open Quantum Materials Database.

Properties
SG	No. 26
spin magnetization	0.04	μB per cell
E above lowest polymorph	0.00	kJ per mole of atoms

```
data_LaHoAsO
_chemical_formula_sum 'La2 Ho2 As2 O2'
_cell_length_a 4.397
_cell_length_b 7.547
_cell_length_c 6.237
_cell_angle_alpha 90.00
_cell_angle_beta 90.00
_cell_angle_gamma 90.00
_symmetry_space_group_name_H-M 'P 1'
_symmetry_Int_Tables_number 1
_symmetry_space_group_name_Hall 'P 1'
loop_
_atom_site_label
_atom_site_type_symbol
_atom_site_fract_x
_atom_site_fract_y
_atom_site_fract_z
La1 La 0.000 0.206 0.000
La2 La 0.000 0.794 0.500
Ho1 Ho 0.500 0.392 0.584
Ho2 Ho 0.500 0.608 0.084
As1 As 0.000 0.186 0.491
As2 As 0.000 0.814 0.991
O1 O 0.500 0.342 0.935
O2 O 0.500 0.658 0.435
```


Entry 5:
First-principles (PBE-GGA) data for a relaxed LaHoAsO crystal, as listed in the Open Quantum Materials Database.

Properties
SG	No. 129
spin magnetization	0.01	μB per cell
E above lowest polymorph	1.58	kJ per mole of atoms

```
data_LaHoAsO
_chemical_formula_sum 'La2 Ho2 As2 O2'
_cell_length_a 4.452
_cell_length_b 4.452
_cell_length_c 9.111
_cell_angle_alpha 90.00
_cell_angle_beta 90.00
_cell_angle_gamma 90.00
_symmetry_space_group_name_H-M 'P 1'
_symmetry_Int_Tables_number 1
_symmetry_space_group_name_Hall 'P 1'
loop_
_atom_site_label
_atom_site_type_symbol
_atom_site_fract_x
_atom_site_fract_y
_atom_site_fract_z
La1 La 0.250 0.250 0.112
La2 La 0.750 0.750 0.888
Ho1 Ho 0.250 0.750 0.500
Ho2 Ho 0.750 0.250 0.500
As1 As 0.250 0.250 0.692
As2 As 0.750 0.750 0.308
O1 O 0.250 0.750 0.000
O2 O 0.750 0.250 0.000
```


Entry 6:
First-principles (PBE-GGA) data for a relaxed LaHoAsO crystal, as listed in the Open Quantum Materials Database.

Properties
SG	No. 129
spin magnetization	0.01	μB per cell
E above lowest polymorph	19.71	kJ per mole of atoms

```
data_LaHoAsO
_chemical_formula_sum 'La2 Ho2 As2 O2'
_cell_length_a 4.246
_cell_length_b 4.246
_cell_length_c 9.446
_cell_angle_alpha 90.00
_cell_angle_beta 90.00
_cell_angle_gamma 90.00
_symmetry_space_group_name_H-M 'P 1'
_symmetry_Int_Tables_number 1
_symmetry_space_group_name_Hall 'P 1'
loop_
_atom_site_label
_atom_site_type_symbol
_atom_site_fract_x
_atom_site_fract_y
_atom_site_fract_z
La1 La 0.250 0.750 0.000
La2 La 0.750 0.250 0.000
Ho1 Ho 0.250 0.250 0.404
Ho2 Ho 0.750 0.750 0.596
As1 As 0.250 0.250 0.773
As2 As 0.750 0.750 0.227
O1 O 0.250 0.750 0.500
O2 O 0.750 0.250 0.500
```